one) DFT (SCAN) results for a PBEsol-optimized structure of In2HgCl.

abc: 3.503 5.163 6.256
angles: 114.37 106.26 90.00
Atoms (fractional coordinates):
In: 0.751 0.251 0.503
In: 0.999 0.999 0.998
Hg: 0.258 0.758 0.516
Cl: 0.492 0.492 0.984

Summary:
symmetry	Imm2, No. 44
size of the total moment	0.0	μB/f.u.



two) DFT (SCAN) results for a PBEsol-optimized structure of In2HgCl.

abc: 3.407 5.028 5.784
angles: 90.00 90.00 90.00
Atoms (fractional coordinates):
In: 0.873 0.500 0.000
Cl: 0.373 0.000 0.000
In: 0.377 0.000 0.500
Hg: 0.877 0.500 0.500

Summary:
symmetry	Pmm2, No. 25
size of the total moment	0.0	μB/f.u.



The data favor two); the next most stable structure lies 0.104 eV/atom above it.



one) DFT (SCAN) results for a PBEsol-optimized structure of ScAlTc2.

abc: 2.865 2.865 9.120
angles: 80.96 80.96 60.00
Atoms (fractional coordinates):
Sc: 0.254 0.254 0.238
Tc: 0.006 0.006 0.981
Tc: 0.747 0.747 0.758
Al: 0.492 0.492 0.523

Summary:
symmetry	R3m, No. 160
size of the total moment	0.0	μB/f.u.



two) DFT (SCAN) results for a PBEsol-optimized structure of ScAlTc2.

abc: 3.110 4.356 5.267
angles: 114.42 107.17 90.00
Atoms (fractional coordinates):
Tc: 0.738 0.738 0.477
Tc: 0.016 0.516 0.032
Sc: 0.262 0.262 0.523
Al: 0.484 0.984 0.967

Summary:
symmetry	Imm2, No. 44
size of the total moment	0.0	μB/f.u.



The data favor two); the next most stable structure lies 0.343 eV/atom above it.